# BSbO | Alexandria | PBE-GGA | optimized geometry
# theoretical density = 4.62 g cm⁻³
# raw formation energy = -0.409 eV per atom
data_BSbO
_chemical_formula_sum 'B4 Sb4 O4'
_symmetry_space_group_name_H-M 'C 1 2/m 1'
_symmetry_Int_Tables_number 12
_cell_length_a 12.6770
_cell_length_b 2.7472
_cell_length_c 7.2172
_cell_angle_alpha 90.00
_cell_angle_beta 121.86
_cell_angle_gamma 90.00
loop_
_symmetry_equiv_pos_as_xyz
'x,y,z'
'-x,-y,-z'
'-x,y,-z'
'x,-y,z'
'x+1/2,y+1/2,z'
'-x+1/2,-y+1/2,-z'
'-x+1/2,y+1/2,-z'
'x+1/2,-y+1/2,z'
loop_
_atom_site_label
_atom_site_fract_x
_atom_site_fract_y
_atom_site_fract_z
B1 0.2414 0.0000 0.3732
Sb1 0.1170 0.5000 0.9933
O1 0.1862 0.0000 0.5174